A plane-wave DFT calculation with PBE+U was carried out for crystalline CeMoAs2O8 at its relaxed geometry.

Results
**Electronic total energy**: -77.971 eV/cell

Cell and atoms, written as CIF:
```
data_CeMoAs2O8
_chemical_formula_sum 'Ce1 Mo1 As2 O8'
_cell_length_a 5.4542
_cell_length_b 5.4542
_cell_length_c 6.2705
_cell_angle_alpha 90.00
_cell_angle_beta 90.00
_cell_angle_gamma 120.00
_space_group_name_H-M_alt 'P 1'
_space_group_IT_number 1
loop_
_space_group_symop_operation_xyz
'x,y,z'
loop_
_atom_site_label
_atom_site_fract_x
_atom_site_fract_y
_atom_site_fract_z
Ce1 0.0000 0.0000 0.0000
Mo1 0.0000 0.0000 0.5000
As1 0.3333 0.6667 0.3187
As2 0.6667 0.3333 0.6813
O1 0.1569 0.3138 0.6999
O2 0.1569 0.8431 0.6999
O3 0.3138 0.1569 0.3001
O4 0.3333 0.6667 0.0562
O5 0.6667 0.3333 0.9438
O6 0.6862 0.8431 0.6999
O7 0.8431 0.1569 0.3001
O8 0.8431 0.6862 0.3001
```